Model 1:
PmPrTh | PBE | optimized geometry

Lattice parameters (Å, degrees): 3.6380 3.6380 15.5471 90.00 90.00 90.00
With the nearest neighbours (Å) after each atom.
Space group P4/nmm (No. 129, origin choice 2)
Inequivalent atoms, fractional coordinates:
Pm1 0.2500 0.2500 0.2389 x2  4 Th 3.60, 4 Pm 3.64, 4 Pr 3.75
Pr1 0.2500 0.2500 0.5854 x2  8 Pr 3.64-3.70, 4 Pm 3.75
Th1 0.2500 0.2500 0.9230 x2  8 Th 3.51-3.64, 4 Pm 3.60

* size of the total moment: 0.00 μB per formula unit

Model 2:
PmPrTh | PBE | optimized geometry

Lattice parameters (Å, degrees): 3.6473 3.6473 15.4903 90.00 90.00 90.00
With the nearest neighbours (Å) after each atom.
Space group I4mm (No. 107)
Inequivalent atoms, fractional coordinates:
Pm1 0.0000 0.0000 0.0000 x2  4 Th 3.53, 4 Pm 3.65, 4 Pr 3.86
Pr1 0.0000 0.0000 0.6854 x2  4 Th 3.56, 4 Pr 3.65, 4 Pm 3.86
Th1 0.0000 0.0000 0.3442 x2  4 Pm 3.53, 4 Pr 3.56, 4 Th 3.65

* size of the total moment: 0.00 μB per formula unit

Model 3:
PmPrTh | PBE | optimized geometry

Lattice parameters (Å, degrees): 5.8052 5.8052 3.5284 90.00 90.00 120.00
With the nearest neighbours (Å) after each atom.
Space group P-6m2 (No. 187)
Inequivalent atoms, fractional coordinates:
Pm1 0.0000 0.0000 0.0000 x1  3 Th 3.35, 2 Pm 3.53
Pr1 0.6667 0.3333 0.5000 x1  2 Pr 3.53, 6 Pm 3.79, 6 Th 3.79
Th1 0.3333 0.6667 0.0000 x1  3 Pm 3.35, 2 Th 3.53

* size of the total moment: 0.00 μB per formula unit

Model 4:
PmPrTh | PBE | optimized geometry

Lattice parameters (Å, degrees): 4.9746 4.9746 8.7276 90.00 90.00 90.00
With the nearest neighbours (Å) after each atom.
Space group P4/nmm (No. 129, origin choice 2)
Inequivalent atoms, fractional coordinates:
Pm1 0.2500 0.2500 0.2104 x2  5 Pr 3.52-3.64, 4 Th 3.55
Pr1 0.2500 0.2500 0.7932 x2  5 Pm 3.52-3.64, 4 Th 3.57
Th1 0.2500 0.7500 0.5000 x2  4 Th 3.52, 4 Pm 3.55, 4 Pr 3.57

* size of the total moment: 0.00 μB per formula unit

model 1 is the most stable structure; the next one sits 0.009 eV/atom above it.

Model 1:
Pm2Pr3Th | PBE | optimized geometry

Lattice parameters (Å, degrees): 5.1813 10.4286 15.5596 90.00 90.00 90.00
With the nearest neighbours (Å) after each atom.
Space group Imma (No. 74)
Inequivalent atoms, fractional coordinates:
Pm1 0.0000 0.2500 0.0037 x4  8 Pr 3.60-3.79, 2 Th 3.66, 2 Pm 3.71
Pm2 0.0000 0.2500 0.6667 x4  4 Pm 3.67-3.71, 8 Pr 3.68-3.73
Pr1 0.0000 0.0000 0.5000 x4  6 Pm 3.68, 4 Pr 3.68, 2 Th 3.71
Pr2 0.0000 0.0074 0.1683 x8  3 Th 3.57-3.62, 5 Pm 3.60-3.79, 4 Pr 3.63-3.68
Th1 0.0000 0.2500 0.3304 x4  8 Pr 3.57-3.71, 2 Th 3.60, 2 Pm 3.66

* size of the total moment: 0.00 μB per formula unit

Model 2:
Pm2Pr3Th | PBE | optimized geometry

Lattice parameters (Å, degrees): 9.6086 13.4161 6.6405 90.00 90.00 90.00
With the nearest neighbours (Å) after each atom.
Space group Cmc2_1 (No. 36)
Inequivalent atoms, fractional coordinates:
Pm1 0.1832 0.1824 0.0000 x8  2 Th 3.28-3.34, 3 Pr 3.44-3.53, 1 Pm 3.52
Pr1 0.0000 0.4134 0.7748 x4  3 Th 3.39-3.62, 2 Pr 3.48, 2 Pm 3.77
Pr2 0.1793 0.0739 0.5170 x8  4 Pm 3.44-3.73, 2 Pr 3.45-3.48, 1 Th 3.82
Th1 0.0000 0.3290 0.2931 x4  4 Pm 3.28-3.34, 3 Pr 3.39-3.62

* size of the total moment: 0.00 μB per formula unit

model 1 is the most stable structure; the next one sits 0.175 eV/atom above it.

Model 1:
Pm4Pr7Th | PBE | optimized geometry

Lattice parameters (Å, degrees): 12.3106 6.1798 13.0451 90.00 118.02 90.00
With the nearest neighbours (Å) after each atom.
Space group C2/m (No. 12)
Inequivalent atoms, fractional coordinates:
Pm1 0.0646 0.0000 0.3214 x4  5 Pr 3.37-3.76
Pm2 0.1361 0.5000 0.7772 x4  7 Pr 3.47-3.79, 2 Pm 3.78
Pr1 0.0000 0.0000 0.0000 x2  2 Th 3.09, 2 Pr 3.19
Pr2 0.1297 0.5000 0.5000 x4  2 Pr 3.19-3.39, 2 Pm 3.37-3.56
Pr3 0.2093 0.0000 0.9212 x4  2 Pr 3.19-3.36, 1 Th 3.23, 4 Pm 3.37-3.51
Pr4 0.2409 0.0000 0.6793 x4  4 Pr 3.36-3.73, 1 Pm 3.76
Th1 0.0000 0.5000 0.0000 x2  4 Pr 3.09-3.23

* size of the total moment: 0.00 μB per formula unit

Model 2:
Pm4Pr7Th | PBE | optimized geometry

Lattice parameters (Å, degrees): 6.4245 7.4278 9.1696 89.91 76.35 89.99
With the nearest neighbours (Å) after each atom.
Space group P-1 (No. 2)
Inequivalent atoms, fractional coordinates:
Pm1 0.2219 0.0000 0.3354 x2  4 Pm 3.63-3.73, 8 Pr 3.68-3.72
Pm2 0.2740 0.7479 0.6722 x2  1 Th 3.61, 8 Pr 3.63-3.75, 3 Pm 3.69-3.73
Pr1 0.0000 0.0000 0.0000 x1  4 Pm 3.63-3.68, 6 Pr 3.63-3.73, 2 Th 3.71
Pr2 0.2188 0.4998 0.3271 x2  1 Th 3.60, 6 Pr 3.61-3.74, 5 Pm 3.66-3.75
Pr3 0.2754 0.2527 0.6712 x2  1 Th 3.62, 5 Pr 3.63-3.74, 6 Pm 3.68-3.75
Pr4 0.4999 0.2545 0.0008 x2  7 Pr 3.61-3.78, 3 Pm 3.63-3.70, 2 Th 3.69
Th1 0.0000 0.5000 0.0000 x1  10 Pr 3.60-3.71, 2 Pm 3.61

* size of the total moment: 0.00 μB per formula unit

model 2 is the most stable structure; the next one sits 0.234 eV/atom above it.

Model 1:
Pm4Pr5Th | PBE | optimized geometry

Lattice parameters (Å, degrees): 3.6761 3.6761 26.1417 90.00 90.00 90.00
With the nearest neighbours (Å) after each atom.
Space group P4/mmm (No. 123)
Inequivalent atoms, fractional coordinates:
Pm1 0.0000 0.0000 0.1000 x2  4 Pm 3.68, 8 Pr 3.69-3.71
Pm2 0.0000 0.0000 0.3000 x2  8 Pr 3.67-3.79, 4 Pm 3.68
Pr1 0.5000 0.5000 0.0000 x1  4 Pr 3.68, 8 Pm 3.69
Pr2 0.5000 0.5000 0.2010 x2  8 Pm 3.67-3.71, 4 Pr 3.68
Pr3 0.5000 0.5000 0.4054 x2  4 Th 3.59, 4 Pr 3.68, 4 Pm 3.79
Th1 0.0000 0.0000 0.5000 x1  8 Pr 3.59, 4 Th 3.68

* size of the total moment: 0.00 μB per formula unit

Model 2:
Pm4Pr5Th | PBE | optimized geometry

Lattice parameters (Å, degrees): 19.0687 3.6728 10.4432 90.00 106.08 90.00
With the nearest neighbours (Å) after each atom.
Space group C2/m (No. 12)
Inequivalent atoms, fractional coordinates:
Pm1 0.0981 0.0000 0.2909 x4  2 Th 3.60, 6 Pr 3.61-3.73, 4 Pm 3.61-3.67
Pm2 0.1979 0.5000 0.1006 x4  6 Pm 3.61-3.75, 5 Pr 3.62-3.72, 1 Th 3.63
Pr1 0.0000 0.5000 0.5000 x2  8 Pr 3.65-3.72, 4 Pm 3.73
Pr2 0.0989 0.0000 0.8071 x4  4 Pm 3.61-3.72, 2 Th 3.62, 6 Pr 3.67-3.76
Pr3 0.1992 0.5000 0.5979 x4  7 Pr 3.65-3.76, 5 Pm 3.70-3.73
Th1 0.0000 0.5000 0.0000 x2  6 Pm 3.60-3.63, 4 Pr 3.62, 2 Th 3.67

* size of the total moment: 0.00 μB per formula unit

model 2 is the most stable structure; the next one sits 0.005 eV/atom above it.